# 1
65
Lattice="-5.095 0.897 -4.832 -9.357 -2.062 4.344 -4.691 7.888 4.949" Properties=species:S:1:pos:R:3 comment="Na2CuH20C12N12O18 (PBE-GGA, optimized geometry)" rho_g_cm3=1.86 energy_ev_per_cell=-426.18 pbc="T T T"
O -13.448 -0.693 1.142
O -5.694 7.417 3.319
O -11.243 0.302 4.432
O -8.239 6.426 3.129
O -8.217 3.236 1.611
O -5.983 4.111 4.434
O -13.160 2.613 0.027
O -5.328 0.181 -0.188
O -7.900 6.421 0.029
O -10.904 0.298 1.332
O -4.269 4.351 1.999
O -9.432 4.684 5.730
O -9.710 2.039 -1.270
O -13.814 6.543 4.649
O -7.653 -0.171 2.603
O -10.926 3.487 2.850
O -14.874 2.373 2.462
O -11.490 6.895 1.857
N -6.738 1.713 0.745
N -8.283 0.501 -2.191
N -1.716 0.246 0.928
N -12.293 2.870 4.583
N -10.859 6.222 6.652
N -5.375 2.285 -1.098
N -3.272 1.771 1.815
N -6.849 3.853 -0.122
N -17.427 6.477 3.532
N -15.871 4.952 2.646
N -13.767 4.438 5.559
N -12.405 5.010 3.716
C -7.179 -1.332 2.588
C -5.883 3.542 -1.070
C -11.964 8.055 1.873
C -11.821 3.769 3.661
C -5.781 1.359 -0.198
C -7.321 2.954 0.800
C -8.844 1.756 -2.104
C -13.260 3.181 5.531
C -16.870 5.234 3.563
C -13.361 5.364 4.659
C -10.299 4.967 6.565
C -2.273 1.490 0.898
H -10.534 6.938 5.957
H -8.360 6.570 2.166
H -10.270 -0.321 0.895
H -8.873 7.045 3.566
H -13.778 2.390 0.759
H -6.628 7.058 3.365
H -7.073 1.003 1.436
H -15.483 3.978 2.598
H -7.252 4.818 -0.087
H -5.365 4.333 3.702
H -3.660 2.746 1.863
H -10.783 0.153 2.295
H -12.069 5.720 3.025
H -11.890 1.905 4.548
H -10.996 5.729 0.263
H -4.567 1.777 -2.381
H -14.576 4.947 6.842
H -8.146 0.994 4.198
H -8.608 -0.215 -1.496
H -12.515 -0.334 1.096
Na -8.377 3.964 3.810
Na -10.766 2.759 0.651
Cu 0.000 0.000 0.000



# 2
12
Lattice="7.448 0.000 0.000 0.000 4.997 0.000 0.000 0.000 4.303" Properties=species:S:1:pos:R:3 comment="BeMoPt (PBE-GGA, optimized geometry)" rho_g_cm3=12.44 e_above_lowest_polymorph_mev_per_atom=105 formation_enthalpy_0k_ev_per_atom=-0.30 pbc="T T T"
Be 6.207 3.748 2.152
Be 1.241 1.249 2.152
Be 2.483 3.748 4.303
Be 4.965 1.249 0.000
Mo 3.724 0.000 2.152
Mo 0.000 0.000 0.000
Mo 0.000 2.498 0.000
Mo 3.724 2.498 2.152
Pt 2.484 1.249 4.303
Pt 4.964 3.748 0.000
Pt 1.240 3.748 2.152
Pt 6.208 1.249 2.152



# 3
3
Lattice="3.667 0.000 0.000 0.000 4.288 0.000 0.000 -2.144 3.714" Properties=species:S:1:pos:R:3 comment="ZrTiPd (PBE-GGA, optimized geometry)" rho_g_cm3=6.98 e_above_lowest_polymorph_mev_per_atom=287 formation_enthalpy_0k_ev_per_atom=-0.16 pbc="T T T"
Zr 2.446 2.144 1.238
Ti 0.613 0.000 2.476
Pd 0.608 0.000 0.000



# 4
5
Lattice="-0.376 -2.840 3.105 4.187 0.062 0.563 -0.424 3.128 2.808" Properties=species:S:1:pos:R:3 comment="YP3N (PBE-GGA, optimized geometry)" raw_formation_energy_ev_per_atom=0.13 rho_g_cm3=4.31 e_above_lowest_polymorph_mev_per_atom=0 pbc="T T T"
P 2.093 0.031 0.282
P -0.188 -1.420 1.553
P -0.212 1.564 1.404
N 0.000 0.000 0.000
Y 1.693 0.175 3.239